[1]
This record from the Alexandria database describes a relaxed CoAgNO2 crystal. The functional is PBE+U.

Lattice parameters (Å, degrees): 3.9515 3.9515 3.4497 90.00 90.00 90.00
Element x y z (fractional)
O 0.0000 0.5000 0.0000
N 0.0000 0.0000 0.5000
O 0.5000 0.0000 0.0000
Co 0.0000 0.0000 0.0000
Ag 0.5000 0.5000 0.5000

M_tot = 1.8 μB/f.u.
E = -0.34345 Ry/atom

---

[2]
This record from the Alexandria database describes a relaxed CoAgNO2 crystal. The functional is PBE+U.

Lattice parameters (Å, degrees): 4.0681 4.0681 3.9735 90.00 90.00 90.00
Element x y z (fractional)
Co 0.5000 0.5000 0.5000
Ag 0.0000 0.0000 0.0000
O 0.5000 0.0000 0.0000
N 0.0000 0.0000 0.5000
O 0.0000 0.5000 0.0000

M_tot = 4.3 μB/f.u.
E = -0.28908 Ry/atom

---

The highest M_tot belongs to which entry? number 2